No. 1
The following is a PBE-GGA calculation of a relaxed structure of NiAg2Au, from Alexandria via LeMat-Bulk.

Cell: 2.9321 2.9322 7.5252 Å, 90.00 90.00 90.00°
Element x y z (fractional)
Ni 0.5000 0.5000 0.7478
Ag 0.0000 0.0000 0.9750
Ag 0.5000 0.5000 0.2501
Au 0.0000 0.0000 0.5272

Calculated values
* energy above the most stable polymorph in this dataset: 0 meV/atom
* total DFT energy (no corrections): -14.4 eV for the cell shown
* total magnetization: 0.0 μB per formula unit



No. 2
The following is a PBE-GGA calculation of a relaxed structure of NiAg2Au, from Alexandria via LeMat-Bulk.

Cell: 5.3995 5.3995 5.3995 Å, 147.31 129.77 61.23°
Element x y z (fractional)
Au 0.7500 0.2500 0.5000
Ni 0.2500 0.7500 0.5000
Ag 0.0155 0.0155 0.0000
Ag 0.4845 0.4845 0.0000

Calculated values
* energy above the most stable polymorph in this dataset: 41 meV/atom
* total DFT energy (no corrections): -14.2 eV for the cell shown
* total magnetization: 0.0 μB per formula unit